# 1
Here is a relaxed structure of NaMnZn2 from Alexandria. Energies are from PBE.

Calculated values
energy above the most stable polymorph in this dataset: 257 meV/atom

Lattice parameters (Å, degrees): 4.7985 4.7985 18.0336 90.00 90.00 90.00
Closest atoms and distances in Å follow each position.
Space group I-42d (No. 122)
Inequivalent atoms, fractional coordinates:
1 Na 0.0000 0.0000 0.0000 (multiplicity 4)  4 Mn 3.39, 8 Zn 3.41-3.60
2 Mn 0.0000 0.0000 0.5000 (multiplicity 4)  4 Zn 2.56
3 Zn 0.0279 0.2500 0.6250 (multiplicity 8)  2 Zn 2.41, 2 Mn 2.56

=====

# 2
Here is a relaxed structure of NaMnZn17 from Alexandria. Energies are from PBE.

Lattice parameters (Å, degrees): 8.9154 8.9154 13.1698 90.00 90.00 120.00
Closest atoms and distances in Å follow each position.
Space group R3m (No. 160, hexagonal axes)
Inequivalent atoms, fractional coordinates:
1 Na 0.0000 0.0000 0.0000 (multiplicity 3)  16 Zn 3.14-3.28
2 Mn 0.0000 0.0000 0.3417 (multiplicity 3)  13 Zn 2.82-3.12
3 Zn 0.0000 0.0000 0.5562 (multiplicity 3)  7 Zn 2.61-2.83, 1 Mn 2.82
4 Zn 0.0000 0.0000 0.7544 (multiplicity 3)  4 Zn 2.61-2.63
5 Zn 0.0325 0.3615 0.3290 (multiplicity 18)  8 Zn 2.57-2.83
6 Zn 0.1751 0.3502 0.1416 (multiplicity 9)  9 Zn 2.56-2.80
7 Zn 0.1771 0.3542 0.5004 (multiplicity 9)  10 Zn 2.57-2.83
8 Zn 0.1869 0.3738 0.8449 (multiplicity 9)  8 Zn 2.56-2.83

=====

| no. | DFT formation energy (meV/atom) |
| --- | --- |
| 1 | 518 |
| 2 | 39 |